Material: PmTc3P2
Method: DFT, PBE-GGA
State: optimized geometry

Summary:
DOS(E_F) = 0.817 states/eV/atom
total DFT energy (no corrections) = -8.42 eV per atom
total moment = 0.00 Bohr magnetons per cell
space group = No. 12

```
18
Lattice="-3.700 -1.669 -0.338 5.156 -6.215 -1.222 -1.101 0.533 9.426" Properties=species:S:1:pos:R:3 pbc="T T T"
Pm 0.282 -1.891 6.253
Pm 0.074 -5.460 1.613
Pm 0.000 0.000 0.000
Tc -0.151 -0.335 3.317
Tc 0.508 -7.015 4.550
Tc 0.945 -2.718 3.081
Tc -0.589 -4.632 4.785
Tc -1.291 -2.398 1.434
Tc 1.647 -4.953 6.432
Tc -2.400 -0.568 4.544
Tc 2.106 -4.522 -0.723
Tc -1.750 -2.829 8.589
P 1.175 -2.744 0.687
P -0.819 -4.607 7.179
P 2.819 -6.392 0.700
P -2.463 -0.959 7.166
P 1.737 -4.676 4.075
P -1.381 -2.675 3.791
```

Material: PmTc4P3
Method: DFT, PBE-GGA
State: optimized geometry

Summary:
DOS(E_F) = 1.226 states/eV/atom
total DFT energy (no corrections) = -8.38 eV per atom
total moment = 0.00 Bohr magnetons per cell
space group = No. 123

```
8
Lattice="-1.605 1.489 -3.433 -3.646 -1.465 1.069 -1.620 6.706 3.666" Properties=species:S:1:pos:R:3 pbc="T T T"
P 0.000 0.000 0.000
P -3.159 2.220 0.025
P -3.712 4.510 1.277
Tc -1.083 1.904 -1.083
Tc -2.103 0.427 1.168
Tc -2.142 6.290 1.315
Tc -3.162 4.814 3.566
Pm -0.810 3.353 1.833
```

Material: Pm2Tc12P7
Method: DFT, PBE-GGA
State: optimized geometry

Summary:
DOS(E_F) = 0.832 states/eV/atom
total DFT energy (no corrections) = -8.77 eV per atom
total moment = 0.00 Bohr magnetons per cell
space group = No. 174

```
21
Lattice="3.962 0.000 0.000 0.000 8.320 -4.804 0.000 0.000 9.607" Properties=species:S:1:pos:R:3 pbc="T T T"
Pm 1.981 0.000 0.000
Pm 0.000 5.547 0.000
Tc 1.981 7.501 1.743
Tc 1.981 6.079 -2.564
Tc 1.981 3.060 0.821
Tc 1.981 1.985 6.420
Tc 1.981 4.567 4.678
Tc 1.981 1.768 3.313
Tc 0.000 0.513 4.983
Tc 0.000 4.059 6.672
Tc 0.000 3.748 2.757
Tc 0.000 6.369 3.134
Tc 0.000 7.850 -2.279
Tc 0.000 2.421 -0.855
P 0.000 2.773 4.804
P 0.000 0.478 7.351
P 0.000 6.127 5.518
P 0.000 1.716 1.542
P 1.981 5.070 2.298
P 1.981 7.776 -0.736
P 1.981 3.795 -1.562
```

Material: Pm2TcP
Method: DFT, PBE-GGA
State: optimized geometry

Summary:
DOS(E_F) = 1.067 states/eV/atom
total DFT energy (no corrections) = -6.70 eV per atom
total moment = 0.00 Bohr magnetons per cell
energy relative to the lowest polymorph listed for this composition = 0.0000 eV per atom
space group = No. 123

```
4
Lattice="3.677 0.000 0.000 0.000 3.677 0.000 0.000 0.000 6.476" Properties=species:S:1:pos:R:3 pbc="T T T"
P 1.839 1.839 3.238
Tc 1.839 1.839 0.000
Pm 0.000 0.000 4.808
Pm 0.000 0.000 1.667
```

Number 1: E_form -0.638 eV/atom. Number 2: E_form -0.578 eV/atom. Number 3: E_form -0.588 eV/atom. Number 4: E_form -0.378 eV/atom.